The following is a PBE calculation of a relaxed HoTmInRu crystal, from the Alexandria database. Values from VASP.

- Volume: 89.2 Å³ per cell
- Distance to the lowest polymorph of the same formula: 0.56 eV/f.u.
- Space group: No. 216
- DFT total energy: -0.2068 Ha/atom
- Density: 10.2 Mg/m³

```
&SYSTEM
  ibrav = 0, nat = 4, ntyp = 4
/
ATOMIC_SPECIES
Ru 101.07 Ru.upf
Tm 168.93 Tm.upf
Ho 164.93 Ho.upf
In 114.82 In.upf
ATOMIC_POSITIONS angstrom
Ru 7.524 4.344 3.071
Tm 5.016 2.896 2.048
Ho 0.000 0.000 0.000
In 2.508 1.448 1.024
CELL_PARAMETERS angstrom
5.016 0.000 0.000
2.508 4.344 0.000
2.508 1.448 4.095
```

***

The following is a PBE calculation of a relaxed HoTmInRu crystal, from the Alexandria database. Values from VASP.

- Volume: 91.0 Å³ per cell
- Distance to the lowest polymorph of the same formula: 0.00 eV/f.u.
- Space group: No. 99
- DFT total energy: -0.2119 Ha/atom
- Density: 10.0 Mg/m³

```
&SYSTEM
  ibrav = 0, nat = 4, ntyp = 4
/
ATOMIC_SPECIES
Ho 164.93 Ho.upf
Tm 168.93 Tm.upf
In 114.82 In.upf
Ru 101.07 Ru.upf
ATOMIC_POSITIONS angstrom
Ho 1.714 1.714 6.063
Tm 1.714 1.714 2.793
In 0.000 0.000 0.573
Ru 0.000 0.000 4.399
CELL_PARAMETERS angstrom
3.427 0.000 0.000
0.000 3.427 0.000
0.000 0.000 7.748
```

***

The following is a PBE calculation of a relaxed Ho2U2InRu5 crystal, from the Alexandria database. Values from VASP.

- Volume: 393.7 Å³ per cell
- Space group: No. 127
- DFT total energy: -0.3035 Ha/atom
- Density: 12.0 Mg/m³

```
&SYSTEM
  ibrav = 0, nat = 20, ntyp = 4
/
ATOMIC_SPECIES
Ho 164.93 Ho.upf
U 238.03 U.upf
In 114.82 In.upf
Ru 101.07 Ru.upf
ATOMIC_POSITIONS angstrom
Ho 0.000 7.162 1.793
Ho 0.000 3.577 8.946
Ho 0.000 1.793 3.577
Ho 0.000 8.946 7.162
U 0.000 1.546 6.916
U 0.000 9.193 3.823
U 0.000 6.916 9.193
U 0.000 3.823 1.546
In 0.000 0.000 0.000
In 0.000 5.370 5.370
Ru 1.707 2.309 0.480
Ru 1.707 8.430 10.259
Ru 1.707 0.480 8.430
Ru 1.707 7.678 4.889
Ru 1.707 10.259 2.309
Ru 1.707 3.061 5.850
Ru 1.707 5.850 7.678
Ru 1.707 4.889 3.061
Ru 1.707 5.370 0.000
Ru 1.707 0.000 5.370
CELL_PARAMETERS angstrom
3.413 0.000 0.000
0.000 10.739 0.000
0.000 0.000 10.739
```

***

The following is a PBE calculation of a relaxed HoZrInRu crystal, from the Alexandria database. Values from VASP.

- Volume: 84.9 Å³ per cell
- Space group: No. 216
- DFT total energy: -0.2408 Ha/atom
- Density: 9.2 Mg/m³

```
&SYSTEM
  ibrav = 0, nat = 4, ntyp = 4
/
ATOMIC_SPECIES
Ru 101.07 Ru.upf
Ho 164.93 Ho.upf
Zr 91.22 Zr.upf
In 114.82 In.upf
ATOMIC_POSITIONS angstrom
Ru 7.399 4.272 3.021
Ho 0.000 0.000 0.000
Zr 4.933 2.848 2.014
In 2.466 1.424 1.007
CELL_PARAMETERS angstrom
4.933 0.000 0.000
2.466 4.272 0.000
2.466 1.424 4.027
```